# 1
Crystalline PrNbGe2 at its relaxed geometry, computed with GGA-PBE.

abc: 7.0036 7.0036 7.0036
angles: 32.91 32.91 32.91
With the nearest neighbours (Å) after each atom.
Element x y z (fractional)
Pr 0.0000 0.0000 0.0000  6 Ge 2.99
Nb 0.5000 0.5000 0.5000  6 Ge 2.68
Ge 0.2366 0.2366 0.2366  3 Nb 2.68, 3 Pr 2.99
Ge 0.7634 0.7634 0.7634  3 Nb 2.68, 3 Pr 2.99

Properties
energy of formation: -483.7 meV per atom


# 2
Crystalline Pm4BI2Cl at its relaxed geometry, computed with GGA-PBE.

abc: 7.1974 4.0721 7.9728
angles: 90.00 107.14 90.00
With the nearest neighbours (Å) after each atom.
Element x y z (fractional)
Pm 0.2007 0.0000 0.1830  2 B 2.67, 1 Cl 2.94
Pm 0.2354 0.5000 0.8110  1 B 2.58
Pm 0.7646 0.5000 0.1890  1 B 2.58
Pm 0.7993 0.0000 0.8170  2 B 2.67, 1 Cl 2.94
B 0.0000 0.5000 0.0000  6 Pm 2.58-2.67
I 0.0000 0.0000 0.5000  6 Pm 3.26-3.27
I 0.5000 0.5000 0.5000  6 Pm 3.46-3.54
Cl 0.5000 0.0000 0.0000  6 Pm 2.89-2.94

Properties
raw formation energy: -909 meV/atom